DFT (PBE-GGA) results for crystalline HgMo2W at its relaxed geometry.

Cell: 4.893 4.893 4.893 Å, 129.92 129.92 73.53°
Element x y z (fractional)
Hg 0.000 0.000 0.000
Mo 0.250 0.750 0.500
Mo 0.750 0.250 0.500
W 0.500 0.500 0.000

Summary:
calculated volume: 67.3 Å³/cell
energy of formation from the pure elements: 0.56 eV/atom
raw total energy: -8.1655 eV/atom

---

DFT (PBE-GGA) results for crystalline CeTl2Br4 at its relaxed geometry.

Cell: 8.370 8.370 7.331 Å, 90.91 90.91 31.68°
Element x y z (fractional)
Ce 0.000 0.000 0.000
Tl 0.201 0.201 0.689
Tl 0.799 0.799 0.311
Br 0.169 0.169 0.163
Br 0.459 0.459 0.250
Br 0.541 0.541 0.750
Br 0.831 0.831 0.837

Summary:
excess energy over the best structure of this formula in the dataset: 0 meV per atom
calculated volume: 269.6 Å³/cell
formation energy from raw total energies: -1158 meV per atom
raw total energy: -3.6380 eV/atom

---

DFT (PBE-GGA) results for crystalline CdSbO at its relaxed geometry.

Cell: 4.861 5.120 5.577 Å, 106.10 93.84 105.21°
Element x y z (fractional)
Cd 0.000 0.000 0.000
Cd 0.170 0.805 0.406
Sb 0.380 0.563 0.844
Sb 0.711 0.297 0.410
O 0.023 0.216 0.685
O 0.416 0.391 0.125

Summary:
excess energy over the best structure of this formula in the dataset: 122 meV per atom
calculated volume: 127.2 Å³/cell
formation energy from raw total energies: -521 meV per atom
raw total energy: -3.8533 eV/atom

---

Q: calculated volume of number 3 (CdSbO)?
A: 127.2 Å³/cell

---

Q: What is the formula in the first record?
A: HgMo2W

---

Q: Which formula does entry 2 have?
A: CeTl2Br4